LaZrB: relaxed, PBE-GGA.

- formation energy (eV/atom) = -0.353

Cell lengths 3.2695, 3.2692, 13.1619 Å; angles 90.05, 97.18, 119.97 degrees
With the nearest neighbours (Å) after each atom.
Positions (direct):
B 0.6316 0.7315 0.0843  3 B 1.89
B 0.9649 0.3981 0.0845  3 B 1.89
Zr 0.2112 0.0207 0.9550  6 B 2.53
Zr 0.3854 0.1087 0.2137  6 B 2.53
La 0.9001 0.8206 0.4537  6 La 3.27, 2 Zr 3.60-3.63
La 0.7346 0.2539 0.7151  6 La 3.27, 1 Zr 3.60

Rb2AlSn7: relaxed, PBE-GGA.

- formation energy (eV/atom) = 0.226

Cell lengths 8.0505, 8.0505, 8.0505 Å; angles 60.00, 60.00, 60.00 degrees
With the nearest neighbours (Å) after each atom.
Positions (direct):
Sn 0.7635 0.2365 0.2365  1 Al 2.69, 1 Sn 3.00
Sn 0.7635 0.2365 0.7635  1 Al 2.69, 1 Sn 3.00
Sn 0.7635 0.7635 0.2365  1 Al 2.69, 1 Sn 3.00
Sn 0.2365 0.2365 0.7635  1 Al 2.69, 1 Sn 3.00
Sn 0.2365 0.7635 0.2365  1 Al 2.69, 1 Sn 3.00
Sn 0.5000 0.5000 0.5000  6 Sn 3.00
Sn 0.2365 0.7635 0.7635  1 Al 2.69, 1 Sn 3.00
Rb 0.7500 0.7500 0.7500  12 Sn 4.03
Rb 0.2500 0.2500 0.2500  12 Sn 4.03
Al 0.0000 0.0000 0.0000  6 Sn 2.69

LaInSi4: relaxed, PBE-GGA.

- energy relative to the elements, uncorrected (eV per atom) = -0.071

Cell lengths 5.4921, 5.4921, 5.4921 Å; angles 60.00, 60.00, 60.00 degrees
With the nearest neighbours (Å) after each atom.
Positions (direct):
Si 0.3830 0.3830 0.3830  3 Si 2.57
Si 0.3830 0.8511 0.3830  3 Si 2.57
Si 0.3830 0.3830 0.8511  3 Si 2.57
Si 0.8511 0.3830 0.3830  3 Si 2.57
La 0.0000 0.0000 0.0000  12 Si 3.24, 4 In 3.36
In 0.7500 0.7500 0.7500  12 Si 3.20, 4 La 3.36

Na3Cr2SbS6: relaxed, PBE-GGA.

- energy relative to the elements, uncorrected (eV per atom) = -0.813

Cell lengths 6.4448, 6.4448, 6.9499 Å; angles 99.02, 99.02, 120.07 degrees
With the nearest neighbours (Å) after each atom.
Positions (direct):
S 0.4328 0.0695 0.2064  2 Cr 2.46-2.47, 1 Sb 2.71
S 0.2933 0.2933 0.7931  2 Cr 2.48, 1 Sb 2.71, 1 Na 2.76
S 0.0695 0.4328 0.2064  2 Cr 2.46-2.47, 1 Sb 2.71
S 0.5672 0.9305 0.7936  2 Cr 2.46-2.47, 1 Sb 2.71
S 0.7067 0.7067 0.2069  2 Cr 2.48, 1 Sb 2.71, 1 Na 2.76
S 0.9305 0.5672 0.7936  2 Cr 2.46-2.47, 1 Sb 2.71
Na 0.5000 0.5000 0.5000  6 S 2.76-2.97
Na 0.1601 0.8399 0.5000  6 S 2.79-2.98
Na 0.8399 0.1601 0.5000  6 S 2.79-2.98
Cr 0.3326 0.6674 0.0000  6 S 2.46-2.48
Cr 0.6674 0.3326 0.0000  6 S 2.46-2.48
Sb 0.0000 0.0000 0.0000  6 S 2.71

KNa6Tl12: relaxed, PBE-GGA.

- formation energy (eV/atom) = -0.032

Cell lengths 8.3708, 8.3708, 8.3709 Å; angles 90.92, 90.92, 90.92 degrees
With the nearest neighbours (Å) after each atom.
Positions (direct):
Na 0.2754 0.8788 0.7111  6 Tl 3.23-3.44, 1 K 3.52
Na 0.7111 0.2754 0.8788  6 Tl 3.23-3.44, 1 K 3.52
Na 0.8788 0.7111 0.2754  6 Tl 3.23-3.44, 1 K 3.52
Na 0.1212 0.2889 0.7246  6 Tl 3.23-3.44, 1 K 3.52
Na 0.2889 0.7246 0.1212  6 Tl 3.23-3.44, 1 K 3.52
Na 0.7246 0.1212 0.2889  6 Tl 3.23-3.44, 1 K 3.52
Tl 0.4359 0.5295 0.7961  4 Na 3.23-3.41, 4 Tl 3.24-3.61
Tl 0.9417 0.6163 0.8469  4 Tl 3.24-3.46, 2 Na 3.30-3.44, 1 K 3.46
Tl 0.2039 0.5641 0.4705  4 Na 3.23-3.41, 4 Tl 3.24-3.61
Tl 0.1531 0.0583 0.3837  4 Tl 3.24-3.46, 2 Na 3.30-3.44, 1 K 3.46
Tl 0.0583 0.3837 0.1531  4 Tl 3.24-3.46, 2 Na 3.30-3.44, 1 K 3.46
Tl 0.4705 0.2039 0.5641  4 Na 3.23-3.41, 4 Tl 3.24-3.61
Tl 0.5295 0.7961 0.4359  4 Na 3.23-3.41, 4 Tl 3.24-3.61
Tl 0.3837 0.1531 0.0583  4 Tl 3.24-3.46, 2 Na 3.30-3.44, 1 K 3.46
Tl 0.7961 0.4359 0.5295  4 Na 3.23-3.41, 4 Tl 3.24-3.61
Tl 0.8469 0.9417 0.6163  4 Tl 3.24-3.46, 2 Na 3.30-3.44, 1 K 3.46
Tl 0.6163 0.8469 0.9417  4 Tl 3.24-3.46, 2 Na 3.30-3.44, 1 K 3.46
Tl 0.5641 0.4705 0.2039  4 Na 3.23-3.41, 4 Tl 3.24-3.61
K 0.0000 0.0000 0.0000  6 Tl 3.46, 6 Na 3.52

K2Cu3Se4O12: relaxed, PBE-GGA.

- energy relative to the elements, uncorrected (eV per atom) = -0.928

Cell lengths 5.4886, 7.6317, 8.5778 Å; angles 97.22, 108.01, 93.04 degrees
With the nearest neighbours (Å) after each atom.
Positions (direct):
O 0.7232 0.2334 0.0277  1 Se 1.76, 1 Cu 1.96
O 0.8911 0.0242 0.7595  1 Se 1.74
O 0.0555 0.7221 0.6172  1 Se 1.74
O 0.7322 0.7952 0.9697  1 Se 1.82, 2 Cu 2.00-2.02
O 0.2768 0.7666 0.9723  1 Se 1.76, 1 Cu 1.96
O 0.3692 0.3575 0.7744  1 Se 1.67
O 0.6308 0.6425 0.2256  1 Se 1.67
O 0.1089 0.9758 0.2405  1 Se 1.74
O 0.5582 0.7246 0.6053  1 Se 1.74, 1 Cu 1.94
O 0.9445 0.2779 0.3828  1 Se 1.74
O 0.4418 0.2754 0.3947  1 Se 1.74, 1 Cu 1.94
O 0.2678 0.2048 0.0303  1 Se 1.82, 2 Cu 2.00-2.02
Cu 0.0000 0.0000 0.0000  4 O 2.00-2.02
Cu 0.5980 0.2464 0.2193  4 O 1.94-2.00
Cu 0.4020 0.7536 0.7807  4 O 1.94-2.00
Se 0.1910 0.1397 0.4130  3 O 1.74
Se 0.8090 0.8603 0.5870  3 O 1.74
Se 0.5768 0.8210 0.1292  3 O 1.67-1.82
Se 0.4232 0.1790 0.8708  3 O 1.67-1.82
K 0.8469 0.4180 0.7011  7 O 2.80-3.12
K 0.1531 0.5820 0.2989  7 O 2.80-3.12

ZrSe3N: relaxed, PBE-GGA.

- energy relative to the elements, uncorrected (eV per atom) = 0.301

Cell lengths 4.4308, 4.4308, 4.4308 Å; angles 90.00, 90.00, 90.00 degrees
With the nearest neighbours (Å) after each atom.
Positions (direct):
Se 0.5000 0.0000 0.0000  2 N 2.22
Se 0.0000 0.0000 0.5000  2 N 2.22
Se 0.0000 0.5000 0.0000  2 N 2.22
Zr 0.5000 0.5000 0.5000  12 Se 3.13
N 0.0000 0.0000 0.0000  6 Se 2.22

HgSb2Se: relaxed, PBE-GGA.

- energy relative to the elements, uncorrected (eV per atom) = 0.106

Cell lengths 7.7056, 7.7056, 7.7056 Å; angles 30.97, 30.97, 30.97 degrees
With the nearest neighbours (Å) after each atom.
Positions (direct):
Sb 0.4994 0.4994 0.4994  3 Hg 2.99, 3 Se 3.01
Sb 0.0006 0.0006 0.0006  3 Hg 2.99, 3 Se 3.01
Hg 0.7500 0.7500 0.7500  6 Sb 2.99
Se 0.2500 0.2500 0.2500  6 Sb 3.01

NbCrB: relaxed, PBE-GGA.

- formation energy (eV/atom) = -0.077

Cell lengths 3.2203, 3.2203, 12.7303 Å; angles 90.00, 90.00, 120.00 degrees
With the nearest neighbours (Å) after each atom.
Positions (direct):
Cr 0.6667 0.3333 0.7189  3 B 2.02
Cr 0.3333 0.6667 0.0522  3 B 2.02
Cr 0.0000 0.0000 0.3856  3 B 2.02
B 0.6667 0.3333 0.9902  3 Cr 2.02
B 0.0000 0.0000 0.6569  3 Cr 2.02
B 0.3333 0.6667 0.3235  3 Cr 2.02
Nb 0.3333 0.6667 0.5485  3 B 2.31
Nb 0.6667 0.3333 0.2152  3 B 2.31
Nb 0.0000 0.0000 0.8819  3 B 2.31

ReOsPt: relaxed, PBE-GGA.

- formation energy (eV/atom) = -0.003

Cell lengths 4.7945, 4.7945, 4.7945 Å; angles 146.83, 131.70, 59.85 degrees
With the nearest neighbours (Å) after each atom.
Positions (direct):
Re 0.6598 0.6598 0.0000  5 Os 2.71-2.88, 5 Pt 2.71-2.79, 2 Re 2.74
Os 0.0068 0.0068 0.0000  5 Re 2.71-2.88, 5 Pt 2.72-2.79, 2 Os 2.74
Pt 0.3335 0.3335 0.0000  5 Re 2.71-2.79, 5 Os 2.72-2.79, 2 Pt 2.74

PuNi4Pb: relaxed, PBE-GGA.

- formation energy (eV/atom) = -0.105

Cell lengths 5.0587, 5.0587, 5.0587 Å; angles 60.00, 60.00, 60.00 degrees
With the nearest neighbours (Å) after each atom.
Positions (direct):
Pb 0.0000 0.0000 0.0000  12 Ni 2.97, 4 Pu 3.10
Pu 0.2500 0.2500 0.2500  12 Ni 2.97, 4 Pb 3.10
Ni 0.1259 0.6247 0.6247  6 Ni 2.52-2.54
Ni 0.6247 0.1259 0.6247  6 Ni 2.52-2.54
Ni 0.6247 0.6247 0.6247  6 Ni 2.52-2.54
Ni 0.6247 0.6247 0.1259  6 Ni 2.52-2.54

CaReBiOs2: relaxed, PBE-GGA.

- formation energy (eV/atom) = 2.903

Cell lengths 4.7886, 4.7666, 4.7886 Å; angles 90.00, 90.00, 90.00 degrees
With the nearest neighbours (Å) after each atom.
Positions (direct):
Re 0.0000 0.5000 0.0000  2 Ca 2.38
Ca 0.0000 0.0000 0.0000  2 Re 2.38, 4 Os 2.39
Os 0.0000 0.0000 0.5000  2 Ca 2.39
Os 0.5000 0.0000 0.0000  2 Ca 2.39
Bi 0.5000 0.5000 0.5000  8 Os 3.38, 4 Re 3.39

| no. | DFT total energy (eV/atom) |
| --- | --- |
| 1 | -7.07 |
| 2 | -3.14 |
| 3 | -4.96 |
| 4 | -5.15 |
| 5 | -2.00 |
| 6 | -5.11 |
| 7 | -5.16 |
| 8 | -2.90 |
| 9 | -8.87 |
| 10 | -9.91 |
| 11 | -6.97 |
| 12 | -5.26 |